1.
A plane-wave DFT calculation with PBE was carried out for YMg6Zn2 after structural relaxation.

The structure in CIF format:
```
data_YMg6Zn2
_cell_length_a 4.306
_cell_length_b 4.306
_cell_length_c 10.651
_cell_angle_alpha 90.00
_cell_angle_beta 90.00
_cell_angle_gamma 90.00
_space_group_name_H-M_alt 'P 4/m m m'
_space_group_IT_number 123
_space_group_name_Hall '-P 4 2'
loop_
_atom_site_label
_atom_site_type_symbol
_atom_site_fract_x
_atom_site_fract_y
_atom_site_fract_z
Y1 Y 0.000 0.000 0.000
Mg1 Mg 0.000 0.000 0.500
Mg2 Mg 0.000 0.500 0.275
Mg3 Mg 0.500 0.500 0.500
Zn1 Zn 0.500 0.500 0.113
```

Properties
The value obtained for the formation enthalpy at 0 K is -100 kJ/mol of formula units. The calculation puts the spin magnetization at 0.00 μB/f.u. For the uncorrected energy, the calculation gives -19.6 eV per cell.

2.
A plane-wave DFT calculation with PBE was carried out for YMg2Zn9 after structural relaxation.

The structure in CIF format:
```
data_YMg2Zn9
_cell_length_a 5.2872
_cell_length_b 5.2872
_cell_length_c 25.1603
_cell_angle_alpha 90.00
_cell_angle_beta 90.00
_cell_angle_gamma 120.00
_space_group_name_H-M_alt 'R -3 m'
_space_group_IT_number 166
_space_group_name_Hall '-R 3 2"'
loop_
_atom_site_label
_atom_site_type_symbol
_atom_site_fract_x
_atom_site_fract_y
_atom_site_fract_z
Y1 Y 0.0000 0.0000 0.0000
Mg1 Mg 0.0000 0.0000 0.1409
Zn1 Zn 0.0000 0.0000 0.3335
Zn2 Zn 0.0000 0.0000 0.5000
Zn3 Zn 0.0051 0.5025 0.9150
```

Properties
The value obtained for the formation enthalpy at 0 K is -232 kJ/mol of formula units. The calculation puts the spin magnetization at 0.00 μB/f.u. For the uncorrected energy, the calculation gives -70.6 eV per cell.

3.
A plane-wave DFT calculation with PBE was carried out for YMg2Zn2 after structural relaxation.

The structure in CIF format:
```
data_YMg2Zn2
_cell_length_a 4.245
_cell_length_b 4.245
_cell_length_c 23.853
_cell_angle_alpha 90.00
_cell_angle_beta 90.00
_cell_angle_gamma 90.00
_space_group_name_H-M_alt 'I 4/m m m'
_space_group_IT_number 139
_space_group_name_Hall '-I 4 2'
loop_
_atom_site_label
_atom_site_type_symbol
_atom_site_fract_x
_atom_site_fract_y
_atom_site_fract_z
Y1 Y 0.000 0.000 0.123
Mg1 Mg 0.000 0.000 0.318
Mg2 Mg 0.000 0.500 0.000
Zn1 Zn 0.000 0.000 0.426
Zn2 Zn 0.000 0.500 0.250
```

Properties
The value obtained for the formation enthalpy at 0 K is -64 kJ/mol of formula units. The energy above the lowest structure with this stoichiometry comes out at 0.083 eV per atom. The calculation puts the spin magnetization at 0.00 μB/f.u. For the uncorrected energy, the calculation gives -51.4 eV per cell.